Below is La2CuRu2 after structural relaxation, with properties calculated at the PBE level.

Calculated values
formation enthalpy at 0 K: 0.15 eV/atom
size of the total moment: 0.001 μB/cell

a = 5.469 Å, b = 5.469 Å, c = 5.449 Å
α = 59.88°, β = 59.88°, γ = 90.00°
Atoms (fractional coordinates):
La  0.250  0.750  0.500
Ru  0.669  0.669  0.662
Cu  0.000  0.000  0.000
La  0.750  0.250  0.500
Ru  0.331  0.331  0.338